A plane-wave DFT calculation with PBE+U was carried out for crystalline AcYCrO6 at its relaxed geometry.

The structure in extended XYZ format:
```
9
Lattice="-2.074 -0.008 -5.054 -4.735 -2.532 -1.005 -2.579 4.407 1.051" Properties=species:S:1:pos:R:3 pbc="T T T"
Y -5.828 0.508 -3.514
O -2.770 2.980 -1.029
O -4.344 -0.250 -2.022
O -4.695 2.246 -2.675
O -4.810 1.572 -0.128
O -2.262 1.159 -2.819
O -2.474 0.432 -0.293
Ac -6.810 -2.540 -6.059
Cr -3.560 1.358 -1.494
```

Summary:
space group	P312, No. 149

=====

A plane-wave DFT calculation with PBE+U was carried out for crystalline Ac2YCrO6 at its relaxed geometry.

The structure in extended XYZ format:
```
10
Lattice="5.925 0.000 -0.327 0.000 5.856 0.000 -2.824 -2.928 4.335" Properties=species:S:1:pos:R:3 pbc="T T T"
O 0.636 2.928 2.166
O 4.375 4.443 0.219
O 4.375 1.412 0.219
O -1.274 1.516 3.789
O -1.274 -1.516 3.789
O 2.465 0.000 1.843
Cr 2.962 0.000 -0.163
Y 0.000 2.928 0.000
Ac -0.017 0.000 2.117
Ac 3.118 2.928 1.892
```

Summary:
density of states at the Fermi level	0.0	states/eV/f.u.
space group	C2/m, No. 12

=====

A plane-wave DFT calculation with PBE+U was carried out for crystalline AcYCr2O8 at its relaxed geometry.

The structure in extended XYZ format:
```
12
Lattice="-3.431 -4.180 3.053 3.801 -2.155 -4.413 3.671 2.623 4.267" Properties=species:S:1:pos:R:3 pbc="T T T"
Cr 0.185 -3.168 -0.680
Cr 0.213 -2.363 3.320
Y 0.000 0.000 0.000
O 0.109 -1.065 2.174
O 1.662 -3.283 3.077
O 3.879 -1.385 2.083
O 0.291 -4.547 0.348
O -1.120 -3.457 3.131
O 2.499 0.484 3.851
O 0.198 -1.645 4.899
O 1.412 -1.977 -0.467
Ac 3.828 -1.350 -0.413
```

Summary:
density of states at the Fermi level	0.7	states/eV/f.u.
space group	I-4m2, No. 119

=====

A plane-wave DFT calculation with PBE+U was carried out for crystalline Ac3Zn2CrO8 at its relaxed geometry.

The structure in extended XYZ format:
```
14
Lattice="5.686 0.000 0.000 -2.843 4.924 0.000 0.000 0.000 7.256" Properties=species:S:1:pos:R:3 pbc="T T T"
Zn 2.843 1.641 5.844
Zn 0.000 3.283 1.412
O 0.000 3.283 6.828
O 0.000 1.567 2.376
O 2.843 1.641 0.428
O 4.329 0.783 4.880
O -1.486 4.140 2.376
O 1.486 4.140 2.376
O 2.843 3.357 4.880
O 1.357 0.783 4.880
Ac 0.000 0.000 0.000
Ac 2.843 1.641 2.675
Ac 0.000 3.283 4.581
Cr 0.000 0.000 3.628
```

Summary:
density of states at the Fermi level	0.0	states/eV/f.u.
space group	P-3m1, No. 164

=====

| no. | total DFT energy (no corrections) (eV/atom) |
| --- | --- |
| 1 | -7.621 |
| 2 | -8.253 |
| 3 | -7.726 |
| 4 | -6.867 |